# PmNdSb2

An optimized crystal structure of PmNdSb2 (PBE-GGA, the Alexandria database).

Summary:
**ΔE to the lowest computed polymorph**: 316 meV/atom
**Formation energy (no corrections)**: -0.875 eV per atom

Structure (CIF):
```
data_PmNdSb2
_chemical_formula_sum 'Pm4 Nd4 Sb8'
_space_group_name_H-M_alt 'F m -3 m'
_space_group_IT_number 225
_space_group_name_Hall '-F 4 2 3'
_cell_length_a 7.780
_cell_length_b 7.780
_cell_length_c 7.780
_cell_angle_alpha 90.00
_cell_angle_beta 90.00
_cell_angle_gamma 90.00
loop_
_atom_site_label
_atom_site_fract_x
_atom_site_fract_y
_atom_site_fract_z
Pm1 0.000 0.000 0.000
Nd1 0.000 0.000 0.500
Sb1 0.250 0.250 0.250
```